Entry 1:
Mg5Cd6: optimized geometry, GGA-PBE.

The structure belongs to space group Immm (No. 71); the cell edges are 4.9889, 6.6564 and 14.8796 Å and the angles 90.00°, 90.00° and 90.00°. The distinct sites, in fractional coordinates, are Mg at (0.0000, 0.0000, 0.0000), Mg at (0.0000, 0.0000, 0.3188), Mg at (0.0000, 0.5000, 0.3356), Cd at (0.0000, 0.2238, 0.5000) and Cd at (0.0000, 0.2698, 0.1523).

The energy relative to the elements comes out at -0.0676 eV/atom. The magnetization is 0.00 μB per cell.



Entry 2:
Cs2UPd2Se4: optimized geometry, GGA-PBE.

The structure belongs to space group C2/m (No. 12); the cell edges are 15.1242, 4.1758 and 8.5321 Å and the angles 90.00°, 107.55° and 90.00°. The distinct sites, in fractional coordinates, are Cs at (0.1382, 0.0000, 0.0738), U at (0.0000, 0.0000, 0.5000), Pd at (0.1798, 0.5000, 0.4910), Se at (0.0134, 0.5000, 0.2814) and Se at (0.1880, 0.0000, 0.6642).

The magnetization is 1.68 μB per cell. Its formation energy without anion corrections is -0.96 eV per atom.



Entry 3:
CsBe2Ir: optimized geometry, GGA-PBE.

The structure belongs to space group Fm-3m (No. 225); the cell edges are 6.6230, 6.6230 and 6.6230 Å and the angles 90.00°, 90.00° and 90.00°. The distinct sites, in fractional coordinates, are Cs at (0.0000, 0.0000, 0.0000), Be at (0.2500, 0.2500, 0.2500) and Ir at (0.0000, 0.0000, 0.5000).

The energy relative to the elements comes out at 1.4906 eV/atom. The magnetization is 0.00 μB per cell.



Entry 4:
RbPa2FeN5: optimized geometry, GGA-PBE.

The structure belongs to space group I4/mcm (No. 140); the cell edges are 6.7032, 6.7032 and 11.2162 Å and the angles 90.00°, 90.00° and 90.00°. The distinct sites, in fractional coordinates, are Rb at (0.0000, 0.0000, 0.2500), Pa at (0.1863, 0.3137, 0.0000), Fe at (0.0000, 0.5000, 0.2500), N at (0.0000, 0.0000, 0.0000) and N at (0.1300, 0.3700, 0.3711).

The magnetization is 7.79 μB per cell. Its formation energy without anion corrections is -0.80 eV per atom.